# 1
Entry from Alexandria: crystalline Li2AcLaS4 at its relaxed geometry (PBE-GGA).

a b c (Å): 4.235 6.673 7.337
angles (deg): 68.55 90.00 90.00
Atoms (fractional coordinates):
Li: 0.000 0.000 0.000
Li: 0.500 0.000 0.500
Ac: 0.000 0.500 0.500
La: 0.500 0.500 0.000
S: 0.000 0.758 0.754
S: 0.000 0.242 0.246
S: 0.500 0.761 0.239
S: 0.500 0.239 0.761

Summary:
For the raw formation energy, the calculation gives -1.80 eV/atom. As for the space group: No. 10.

=====

# 2
Entry from Alexandria: crystalline Ca2HgH2 at its relaxed geometry (PBE-GGA).

a b c (Å): 7.335 7.335 3.337
angles (deg): 90.00 90.00 90.00
Atoms (fractional coordinates):
H: 0.382 0.882 0.000
H: 0.882 0.618 0.000
H: 0.618 0.118 0.000
H: 0.118 0.382 0.000
Ca: 0.172 0.672 0.500
Ca: 0.672 0.828 0.500
Ca: 0.828 0.328 0.500
Ca: 0.328 0.172 0.500
Hg: 0.000 0.000 0.000
Hg: 0.500 0.500 0.000

Summary:
The calculation puts the total energy at -2.41 eV per atom. As for the space group: No. 127.

=====

# 3
Entry from Alexandria: crystalline CaTi4S8 at its relaxed geometry (PBE-GGA).

a b c (Å): 7.868 7.868 7.868
angles (deg): 51.69 51.69 51.69
Atoms (fractional coordinates):
Ca: 0.500 0.500 0.500
Ti: 0.000 0.500 0.500
Ti: 0.500 0.000 0.500
Ti: 0.500 0.500 0.000
Ti: 0.000 0.000 0.000
S: 0.258 0.764 0.764
S: 0.236 0.236 0.742
S: 0.742 0.236 0.236
S: 0.236 0.742 0.236
S: 0.264 0.264 0.264
S: 0.736 0.736 0.736
S: 0.764 0.258 0.764
S: 0.764 0.764 0.258

Summary:
For the raw formation energy, the calculation gives -1.49 eV/atom. As for the space group: No. 166.

=====

# 4
Entry from Alexandria: crystalline Na6SnSb4 at its relaxed geometry (PBE-GGA).

a b c (Å): 6.907 10.684 10.684
angles (deg): 120.00 90.00 90.00
Atoms (fractional coordinates):
Na: 0.400 0.687 0.843
Na: 0.400 0.157 0.313
Na: 0.400 0.157 0.843
Na: 0.900 0.313 0.157
Na: 0.900 0.843 0.687
Na: 0.900 0.843 0.157
Na: 0.642 0.981 0.490
Na: 0.642 0.510 0.019
Na: 0.642 0.510 0.490
Na: 0.142 0.019 0.510
Na: 0.142 0.490 0.981
Na: 0.142 0.490 0.510
Sn: 0.790 0.333 0.667
Sn: 0.290 0.667 0.333
Sb: 0.373 0.333 0.667
Sb: 0.873 0.667 0.333
Sb: 0.900 0.631 0.815
Sb: 0.900 0.185 0.369
Sb: 0.900 0.185 0.815
Sb: 0.400 0.369 0.185
Sb: 0.400 0.815 0.631
Sb: 0.400 0.815 0.185

Summary:
For the raw formation energy, the calculation gives -0.28 eV/atom. As for the space group: No. 186.

=====

# 5
Entry from Alexandria: crystalline HgIr3F at its relaxed geometry (PBE-GGA).

a b c (Å): 4.332 4.332 4.332
angles (deg): 90.00 90.00 90.00
Atoms (fractional coordinates):
Ir: 0.000 0.500 0.000
Ir: 0.000 0.000 0.500
Ir: 0.500 0.000 0.000
Hg: 0.500 0.500 0.500
F: 0.000 0.000 0.000

Summary:
For the raw formation energy, the calculation gives 1.33 eV/atom. As for the space group: No. 221.

=====

# 6
Entry from Alexandria: crystalline Ho6TmHg2 at its relaxed geometry (PBE-GGA).

a b c (Å): 3.703 6.512 11.519
angles (deg): 75.64 80.75 73.48
Atoms (fractional coordinates):
Ho: 0.687 0.502 0.123
Ho: 0.313 0.498 0.877
Ho: 0.312 0.790 0.585
Ho: 0.984 0.696 0.337
Ho: 0.016 0.304 0.663
Ho: 0.688 0.210 0.415
Tm: 0.000 0.000 0.000
Hg: 0.357 0.083 0.203
Hg: 0.643 0.917 0.797

Summary:
Its energy of formation is -19.9 kJ/mol of atoms. As for the space group: No. 12.

=====

# 7
Entry from Alexandria: crystalline Pr3Mg5Hg2 at its relaxed geometry (PBE-GGA).

a b c (Å): 6.473 9.812 9.812
angles (deg): 84.26 70.74 70.74
Atoms (fractional coordinates):
Pr: 0.250 0.000 0.000
Pr: 0.750 0.000 0.000
Pr: 0.368 0.383 0.881
Pr: 0.632 0.617 0.119
Pr: 0.868 0.881 0.383
Pr: 0.132 0.119 0.617
Mg: 0.250 0.500 0.500
Mg: 0.750 0.500 0.500
Mg: 0.508 0.742 0.742
Mg: 0.992 0.258 0.258
Mg: 0.492 0.258 0.258
Mg: 0.008 0.742 0.742
Mg: 0.114 0.535 0.237
Mg: 0.886 0.465 0.763
Mg: 0.614 0.237 0.535
Mg: 0.386 0.763 0.465
Hg: 0.143 0.708 0.006
Hg: 0.857 0.292 0.994
Hg: 0.643 0.006 0.708
Hg: 0.357 0.994 0.292

Summary:
Its energy of formation is -13.2 kJ/mol of atoms. As for the space group: No. 72.

=====

# 8
Entry from Alexandria: crystalline Tl2SiRu at its relaxed geometry (PBE-GGA).

a b c (Å): 3.838 4.384 5.474
angles (deg): 66.48 90.00 90.00
Atoms (fractional coordinates):
Ru: 0.000 0.689 0.499
Si: 0.500 0.560 0.755
Tl: 0.000 0.975 0.925
Tl: 0.500 0.276 0.321

Summary:
For the raw formation energy, the calculation gives 0.26 eV/atom. As for the space group: No. 6.

=====

# 9
Entry from Alexandria: crystalline CeNd2Th3Te6 at its relaxed geometry (PBE-GGA).

a b c (Å): 3.917 13.529 8.740
angles (deg): 107.24 102.95 90.00
Site moments in Bohr magnetons follow the coordinates.
Atoms (fractional coordinates):
Ce: 0.500 0.000 0.000  1.05
Nd: 0.663 0.395 0.325  0.05
Nd: 0.337 0.605 0.675  0.05
Th: 0.500 0.500 0.000  0.10
Th: 0.724 0.154 0.448  0.14
Th: 0.276 0.846 0.552  0.14
Te: 0.140 0.958 0.280  -0.01
Te: 0.690 0.643 0.379  0.00
Te: 0.860 0.042 0.720  -0.01
Te: 0.912 0.798 0.825  -0.01
Te: 0.088 0.202 0.175  -0.01
Te: 0.310 0.357 0.621  0.00

Summary:
For the raw formation energy, the calculation gives -0.86 eV/atom. As for the space group: No. 12.

=====

# 10
Entry from Alexandria: crystalline NiHgTe2 at its relaxed geometry (PBE-GGA).

a b c (Å): 3.969 6.389 4.006
angles (deg): 90.00 90.00 90.00
Atoms (fractional coordinates):
Hg: 0.500 0.000 0.500
Ni: 0.000 0.500 0.500
Te: 0.000 0.000 0.000
Te: 0.500 0.500 0.000

Summary:
For the raw formation energy, the calculation gives 0.42 eV/atom. As for the space group: No. 47.

=====

# 11
Entry from Alexandria: crystalline ScCdSn2 at its relaxed geometry (PBE-GGA).

a b c (Å): 4.274 4.670 4.670
angles (deg): 90.00 90.00 90.00
Atoms (fractional coordinates):
Sc: 0.500 0.500 0.500
Sn: 0.000 0.000 0.500
Sn: 0.000 0.500 0.000
Cd: 0.500 0.000 0.000

Summary:
Its energy of formation is -30.9 kJ/mol of atoms. As for the space group: No. 123.

=====

Going through the records in order, we get calculated density values of 4.4, 5.2, 2.9, 3.6, 16.3, 10.1, 5.7, 10.6, 7.3, 8.4, 7.0 g cm⁻³.
Going through the records in order, we get D(E_F) values of 0.000, 0.169, 0.475, 0.685, 1.549, 1.035, 0.793, 0.737, 1.314, 1.015, 0.351 states/eV per atom.